A plane-wave DFT calculation with GGA-PBE was carried out for a relaxed Na12Tl7Pd crystal.

Lattice parameters (Å, degrees): 13.5481 13.5481 11.0309 90.00 90.00 120.00
Last column: nearest neighbours and their distance in Å.
Space group R-3 (No. 148, hexagonal axes)
Symmetry-distinct sites (fractional):
Na 0.0132 0.7546 0.0200 (multiplicity 18)  4 Tl 3.28-3.51, 5 Na 3.45-3.62
Na 0.0484 0.8908 0.7406 (multiplicity 18)  1 Pd 3.26, 5 Na 3.28-3.62, 4 Tl 3.29-3.59
Tl 0.0000 0.0000 0.0000 (multiplicity 3)  12 Na 3.43
Tl 0.0747 0.5641 0.1224 (multiplicity 18)  1 Pd 3.09, 3 Tl 3.21-3.30, 4 Na 3.28-3.36
Pd 0.0000 0.0000 0.5000 (multiplicity 3)  6 Tl 3.09, 6 Na 3.26

Results
DFT total energy: -117.80 eV/cell
V: 1753 Å³/cell
DFT formation energy: -0.08 eV/atom